First-principles (GGA-PBE) data for a relaxed structure of LiCaW3, as listed in Alexandria.

```
LiCaW3
1.0
4.4510 0.0000 0.0000
0.0000 4.4510 0.0000
0.0000 0.0000 4.4510
Ca W Li
1 3 1
direct
0.5000 0.5000 0.5000
0.0000 0.5000 0.0000
0.0000 0.0000 0.5000
0.5000 0.0000 0.0000
0.0000 0.0000 0.0000
```

Summary:
Calculated volume ... 88.2 Å³/f.u.
Density of states at the Fermi level ... 6.73 states/eV per cell
Relative energy among the computed polymorphs ... 0.0 meV per atom
Energy of formation from the pure elements ... 1.7036 eV per atom

First-principles (GGA-PBE) data for a relaxed structure of YTcRu2, as listed in Alexandria.

```
YTcRu2
1.0
3.0088 0.0000 0.0000
0.0000 3.0087 0.0000
0.0000 0.0000 7.5237
Ru Tc Y
2 1 1
direct
0.0000 0.0000 0.0398
0.0000 0.0000 0.4602
0.5000 0.5000 0.2500
0.5000 0.5000 0.7500
```

Summary:
Calculated volume ... 68.1 Å³/f.u.
Density of states at the Fermi level ... 4.88 states/eV per cell
Relative energy among the computed polymorphs ... 0.0 meV per atom
Energy of formation from the pure elements ... 0.0841 eV per atom

First-principles (GGA-PBE) data for a relaxed structure of Rb2In3Au4, as listed in Alexandria.

```
Rb2In3Au4
1.0
6.3035 0.0000 -2.4695
0.0000 8.3524 0.0000
0.0959 0.0000 9.5245
Rb In Au
4 6 8
direct
0.1082 0.5973 0.2163
0.8918 0.4027 0.7837
0.3918 0.0973 0.7837
0.6082 0.9027 0.2163
0.0000 0.0000 0.0000
0.5000 0.5000 0.0000
0.5399 0.7500 0.5799
0.9601 0.2500 0.4201
0.4601 0.2500 0.4201
0.0399 0.7500 0.5799
0.6993 0.7500 0.8986
0.8007 0.2500 0.1014
0.3007 0.2500 0.1014
0.1993 0.7500 0.8986
0.2072 0.9680 0.4143
0.7928 0.0320 0.5857
0.2928 0.4680 0.5857
0.7072 0.5320 0.4143
```

Summary:
Calculated volume ... 251.7 Å³/f.u.
Density of states at the Fermi level ... 6.71 states/eV per cell
Energy of formation from the pure elements ... -0.2324 eV per atom

First-principles (GGA-PBE) data for a relaxed structure of Y2AgGe2, as listed in Alexandria.

```
Y2AgGe2
1.0
-3.3485 4.0080 4.9179
-5.7863 0.3510 -4.2258
-1.5481 -3.5341 1.8262
Y Ge Ag
4 4 2
direct
0.1758 0.6758 0.5000
0.6758 0.8242 0.5000
0.8242 0.3242 0.5000
0.3242 0.1758 0.5000
0.3742 0.8742 0.0000
0.8742 0.6258 0.0000
0.6258 0.1258 0.0000
0.1258 0.3742 0.0000
0.0000 0.0000 0.0000
0.5000 0.5000 0.0000
```

Summary:
Calculated volume ... 109.8 Å³/f.u.
Density of states at the Fermi level ... 4.71 states/eV per cell
Relative energy among the computed polymorphs ... 0.0 meV per atom
Energy of formation from the pure elements ... -0.7242 eV per atom

First-principles (GGA-PBE) data for a relaxed structure of AcSiSb2, as listed in Alexandria.

```
AcSiSb2
1.0
-1.2285 -2.8264 2.8770
2.1659 -0.4300 3.5915
-4.2796 4.3977 5.5820
Sb Ac Si
2 1 1
direct
0.2661 0.2661 0.2016
0.7339 0.7339 0.7984
0.5000 0.5000 0.5000
0.0000 0.0000 0.0000
```

Summary:
Calculated volume ... 122.1 Å³/f.u.
Density of states at the Fermi level ... 4.10 states/eV per cell
Formation energy (no corrections) ... -12.7 kJ/mol of atoms
Relative energy among the computed polymorphs ... 202.5 meV per atom

First-principles (GGA-PBE) data for a relaxed structure of InHPdAu2, as listed in Alexandria.

```
InHPdAu2
1.0
4.5000 0.0000 0.0000
0.0000 4.5000 0.0000
0.0000 0.0000 3.7557
H Au Pd In
1 2 1 1
direct
0.0000 0.0000 0.0000
0.0000 0.5000 0.0000
0.5000 0.0000 0.0000
0.0000 0.0000 0.5000
0.5000 0.5000 0.5000
```

Summary:
Calculated volume ... 76.1 Å³/f.u.
Density of states at the Fermi level ... 1.81 states/eV per cell
DFT total energy ... -3.6128 eV/atom

First-principles (GGA-PBE) data for a relaxed structure of Na3ErRh2O6, as listed in Alexandria.

```
Na3ErRh2O6
1.0
5.4758 -0.0012 0.0039
-2.7377 4.7423 0.0039
-0.9094 -1.5746 5.5077
Na Er Rh O
3 1 2 6
direct
0.1720 0.8280 0.5000
0.8280 0.1720 0.5000
0.5000 0.5000 0.5000
0.0000 0.0000 0.0000
0.3335 0.6665 0.0000
0.6665 0.3335 0.0000
0.9305 0.5789 0.7892
0.7198 0.7198 0.2136
0.0695 0.4211 0.2108
0.5789 0.9305 0.7892
0.2802 0.2802 0.7864
0.4211 0.0695 0.2108
```

Summary:
Calculated volume ... 143.1 Å³/f.u.
Formation energy (no corrections) ... -161.9 kJ/mol of atoms

First-principles (GGA-PBE) data for a relaxed structure of Cs2LaCI6, as listed in Alexandria.

```
Cs2LaCI6
1.0
-7.8301 -2.4082 3.1613
3.3775 -0.3516 8.0977
-3.6023 4.1633 6.4441
Cs I C La
2 6 1 1
direct
0.7500 0.2500 0.5000
0.2500 0.7500 0.5000
0.2749 0.2749 0.4502
0.7251 0.7251 0.5498
0.2538 0.2538 0.0000
0.7462 0.7462 0.0000
0.7462 0.2538 0.0000
0.2538 0.7462 0.0000
0.5000 0.5000 0.0000
0.0000 0.0000 0.0000
```

Summary:
Calculated volume ... 444.8 Å³/f.u.
Density of states at the Fermi level ... 5.84 states/eV per cell
Formation energy (no corrections) ... -58.9 kJ/mol of atoms

First-principles (GGA-PBE) data for a relaxed structure of AcAlGaPd2, as listed in Alexandria.

```
AcAlGaPd2
1.0
4.3157 0.0000 0.0000
0.0000 4.3157 0.0000
-2.1578 -2.1578 5.6503
Ac Al Ga Pd
1 1 1 2
direct
0.0000 0.0000 0.0000
0.7500 0.2500 0.5000
0.2500 0.7500 0.5000
0.6262 0.6262 0.2524
0.3738 0.3738 0.7476
```

Summary:
Calculated volume ... 105.2 Å³/f.u.
Density of states at the Fermi level ... 3.31 states/eV per cell
Energy of formation from the pure elements ... -0.7920 eV per atom

First-principles (GGA-PBE) data for a relaxed structure of K3Bi2Pb4, as listed in Alexandria.

```
K3Bi2Pb4
1.0
-0.6246 5.2818 -1.7982
1.2634 0.5735 -7.0308
-8.7778 1.1247 -5.2268
K Bi Pb
3 2 4
direct
0.5825 0.1376 0.6511
0.0000 0.0000 0.0000
0.4175 0.8624 0.3489
0.7813 0.2739 0.2723
0.2187 0.7261 0.7277
0.3448 0.3633 0.9910
0.8607 0.5090 0.6794
0.1393 0.4910 0.3206
0.6552 0.6367 0.0090
```

Summary:
Calculated volume ... 346.2 Å³/f.u.
Density of states at the Fermi level ... 2.65 states/eV per cell
Energy of formation from the pure elements ... -0.1704 eV per atom

First-principles (GGA-PBE) data for a relaxed structure of RbCdBi, as listed in Alexandria.

```
RbCdBi
1.0
-1.1267 4.4616 2.3361
-4.9003 -0.4460 -1.5557
2.7785 -7.8431 7.1961
Rb Cd Bi
2 2 2
direct
0.3499 0.3499 0.6530
0.6501 0.6501 0.3470
0.5000 0.0000 0.0000
0.0000 0.5000 0.0000
0.9542 0.9542 0.7797
0.0458 0.0458 0.2203
```

Summary:
Calculated volume ... 124.0 Å³/f.u.
Density of states at the Fermi level ... 0.88 states/eV per cell
Energy of formation from the pure elements ... -0.1746 eV per atom

First-principles (GGA-PBE) data for a relaxed structure of Ac3AgAs2Pd9, as listed in Alexandria.

```
Ac3AgAs2Pd9
1.0
6.3419 0.0000 0.0000
-3.1710 5.4923 0.0000
0.0000 0.0000 10.1914
Ac Ag As Pd
3 1 2 9
direct
0.3333 0.6667 0.7082
0.0000 0.0000 0.0000
0.6667 0.3333 0.2918
0.0000 0.0000 0.5000
0.3333 0.6667 0.1649
0.6667 0.3333 0.8351
0.8557 0.1443 0.7184
0.8557 0.7113 0.7184
0.2887 0.1443 0.7184
0.7113 0.8557 0.2816
0.1443 0.2887 0.2816
0.1443 0.8557 0.2816
0.5000 0.0000 0.0000
0.0000 0.5000 0.0000
0.5000 0.5000 0.0000
```

Summary:
Calculated volume ... 355.0 Å³/f.u.
Density of states at the Fermi level ... 7.25 states/eV per cell
Energy of formation from the pure elements ... -0.5869 eV per atom

First-principles (GGA-PBE) data for a relaxed structure of Li2C2F, as listed in Alexandria.

```
Li2C2F
1.0
-1.4029 -2.0088 0.2461
1.9847 -1.4242 -0.3104
1.2741 -1.6629 6.0089
C Li F
2 2 1
direct
0.7500 0.2500 0.5000
0.2500 0.7500 0.5000
0.4018 0.4018 0.1964
0.5982 0.5982 0.8036
0.0000 0.0000 0.0000
```

Summary:
Calculated volume ... 37.1 Å³/f.u.
Density of states at the Fermi level ... 0.78 states/eV per cell
Formation energy (no corrections) ... -21.4 kJ/mol of atoms
Relative energy among the computed polymorphs ... 76.2 meV per atom

First-principles (GGA-PBE) data for a relaxed structure of LaTa2CoSi, as listed in Alexandria.

```
LaTa2CoSi
1.0
4.6063 0.0000 0.0000
0.0000 5.3278 0.0000
0.0000 0.0000 4.6063
Si La Co Ta
1 1 1 2
direct
0.5000 0.5000 0.5000
0.0000 0.5000 0.0000
0.0000 0.0000 0.0000
0.0000 0.0000 0.5000
0.5000 0.0000 0.0000
```

Summary:
Calculated volume ... 113.0 Å³/f.u.
Density of states at the Fermi level ... 5.72 states/eV per cell
Formation energy (no corrections) ... 61.9 kJ/mol of atoms

First-principles (GGA-PBE) data for a relaxed structure of LaThAlZn, as listed in Alexandria.

```
LaThAlZn
1.0
-5.1767 -0.3916 0.9931
-1.6672 -2.1969 4.5091
-2.2071 3.0055 3.7462
Zn Al Th La
1 1 1 1
direct
0.0000 0.0000 0.0000
0.5000 0.5000 0.5000
0.7500 0.7500 0.7500
0.2500 0.2500 0.2500
```

Summary:
Calculated volume ... 104.4 Å³/f.u.
Density of states at the Fermi level ... 2.81 states/eV per cell
Energy of formation from the pure elements ... -0.2510 eV per atom

First-principles (GGA-PBE) data for a relaxed structure of TlPt2Au, as listed in Alexandria.

```
TlPt2Au
1.0
5.5367 0.0178 0.3328
4.7187 2.8964 0.3328
1.5703 0.4462 4.6481
Au Pt Tl
1 2 1
direct
0.2608 0.2608 0.1668
0.0092 0.0092 0.0752
0.7397 0.7397 0.6790
0.4902 0.4902 0.5790
```

Summary:
Calculated volume ... 72.5 Å³/f.u.
Density of states at the Fermi level ... 1.89 states/eV per cell
Energy of formation from the pure elements ... 0.0667 eV per atom

First-principles (GGA-PBE) data for a relaxed structure of TaVRh2, as listed in Alexandria.

```
TaVRh2
1.0
-0.4362 -0.9103 3.8199
3.7748 -1.1565 0.1555
3.9919 6.8355 4.1281
Ta Rh V
2 4 2
direct
0.0000 0.0000 0.0000
0.7500 0.2500 0.5000
0.6103 0.1250 0.2500
0.1397 0.6250 0.2500
0.3750 0.3897 0.7500
0.8750 0.8603 0.7500
0.5000 0.5000 0.0000
0.2500 0.7500 0.5000
```

Summary:
Calculated volume ... 66.2 Å³/f.u.
Density of states at the Fermi level ... 6.63 states/eV per cell
Relative energy among the computed polymorphs ... 623.5 meV per atom
Energy of formation from the pure elements ... 0.1882 eV per atom

First-principles (GGA-PBE) data for a relaxed structure of CdSb2PRu, as listed in Alexandria.

```
CdSb2PRu
1.0
5.4773 0.0000 0.0000
0.0000 4.7265 0.0000
0.0000 0.0000 5.4773
Sb Ru P Cd
2 1 1 1
direct
0.0000 0.0000 0.5000
0.5000 0.0000 0.0000
0.5000 0.5000 0.5000
0.0000 0.5000 0.0000
0.0000 0.0000 0.0000
```

Summary:
Calculated volume ... 141.8 Å³/f.u.
Density of states at the Fermi level ... 4.80 states/eV per cell
Formation energy (no corrections) ... 150.6 kJ/mol of atoms